Computed, not measured: Cs12Au3O5 after structural relaxation at the PBE level of DFT.

Properties
Space-group type: Ia-3d (230)
Energy relative to the elements, uncorrected in eV per formula unit: -15.20

Unit cell a=16.359 b=16.359 c=16.359 alpha=109.47 beta=109.47 gamma=109.47
Fractional coordinates of all 80 atoms:
Cs (0.402, 0.017, 0.318)
Cs (0.983, 0.598, 0.182)
Cs (0.417, 0.115, 0.598)
Au (0.375, 0.625, 0.250)
Cs (0.083, 0.902, 0.385)
Cs (0.483, 0.682, 0.098)
O (0.500, 0.000, 0.500)
Cs (0.615, 0.598, 0.917)
Cs (0.182, 0.083, 0.699)
Cs (0.115, 0.417, 0.098)
Cs (0.801, 0.483, 0.385)
Cs (0.517, 0.199, 0.115)
Au (0.125, 0.875, 0.750)
Cs (0.615, 0.017, 0.199)
Cs (0.983, 0.385, 0.301)
Cs (0.902, 0.083, 0.885)
Cs (0.402, 0.385, 0.583)
O (0.000, 0.000, 0.500)
O (0.750, 0.125, 0.875)
O (0.000, 0.500, 0.000)
Au (0.125, 0.250, 0.875)
O (0.375, 0.125, 0.750)
Cs (0.818, 0.902, 0.017)
Cs (0.917, 0.098, 0.615)
Au (0.750, 0.875, 0.625)
O (0.000, 0.500, 0.500)
Cs (0.598, 0.615, 0.417)
Cs (0.885, 0.301, 0.483)
Cs (0.301, 0.417, 0.818)
Cs (0.083, 0.182, 0.199)
Cs (0.318, 0.801, 0.417)
O (0.000, 0.000, 0.000)
Cs (0.818, 0.917, 0.301)
Cs (0.385, 0.402, 0.083)
Cs (0.417, 0.301, 0.318)
O (0.125, 0.750, 0.375)
Au (0.625, 0.375, 0.750)
Au (0.250, 0.625, 0.875)
Cs (0.583, 0.885, 0.402)
Cs (0.385, 0.983, 0.801)
Au (0.875, 0.125, 0.250)
Au (0.375, 0.750, 0.625)
O (0.500, 0.500, 0.000)
Cs (0.682, 0.199, 0.583)
O (0.375, 0.250, 0.125)
Cs (0.699, 0.115, 0.017)
O (0.250, 0.875, 0.125)
Cs (0.917, 0.818, 0.801)
O (0.500, 0.000, 0.000)
Cs (0.318, 0.517, 0.402)
O (0.625, 0.750, 0.875)
O (0.875, 0.625, 0.750)
Cs (0.017, 0.615, 0.699)
Au (0.250, 0.125, 0.375)
Cs (0.017, 0.402, 0.818)
Cs (0.098, 0.182, 0.483)
O (0.125, 0.375, 0.250)
Cs (0.801, 0.318, 0.917)
Cs (0.115, 0.699, 0.517)
O (0.250, 0.375, 0.625)
Cs (0.517, 0.318, 0.902)
Au (0.750, 0.375, 0.125)
Cs (0.699, 0.583, 0.182)
Cs (0.902, 0.818, 0.517)
Cs (0.182, 0.098, 0.983)
Au (0.625, 0.250, 0.375)
O (0.750, 0.625, 0.375)
Cs (0.583, 0.699, 0.682)
Cs (0.885, 0.583, 0.902)
O (0.625, 0.875, 0.250)
Au (0.875, 0.750, 0.125)
Cs (0.598, 0.983, 0.682)
O (0.500, 0.500, 0.500)
Cs (0.682, 0.483, 0.598)
O (0.875, 0.250, 0.625)
Cs (0.098, 0.917, 0.115)
Cs (0.199, 0.517, 0.615)
Cs (0.483, 0.801, 0.885)
Cs (0.301, 0.885, 0.983)
Cs (0.199, 0.682, 0.083)

---

Computed, not measured: Cs8Au3O2 after structural relaxation at the PBE level of DFT.

Properties
Space-group type: C2/m (12)
Energy relative to the elements, uncorrected in eV per formula unit: -7.63

Unit cell a=9.259 b=10.652 c=9.347 alpha=124.74 beta=109.28 gamma=90.00
Fractional coordinates of all 13 atoms:
Au (0.000, 0.280, 0.000)
O (0.371, 0.317, 0.634)
Cs (0.734, 0.838, 0.260)
Au (0.500, 0.000, 0.000)
Cs (0.321, 0.652, 0.304)
Cs (0.734, 0.422, 0.260)
O (0.629, 0.683, 0.366)
Cs (0.771, 0.879, 0.758)
Cs (0.266, 0.162, 0.740)
Au (0.000, 0.720, 0.000)
Cs (0.679, 0.348, 0.696)
Cs (0.266, 0.578, 0.740)
Cs (0.229, 0.121, 0.242)

---

Computed, not measured: Cs10Au4O after structural relaxation at the PBE level of DFT.

Properties
Space-group type: I4/m (87)
Energy relative to the elements, uncorrected in eV per formula unit: -4.69

Unit cell a=8.487 b=10.367 c=10.367 alpha=80.36 beta=65.84 gamma=65.84
Fractional coordinates of all 15 atoms:
Au (0.603, 0.191, 0.604)
Au (0.206, 0.396, 0.191)
Au (0.397, 0.809, 0.396)
O (0.000, 0.000, 0.000)
Cs (0.321, 0.725, 0.089)
Au (0.794, 0.604, 0.809)
Cs (0.046, 0.089, 0.275)
Cs (0.590, 0.089, 0.275)
Cs (0.750, 0.500, 0.500)
Cs (0.679, 0.275, 0.911)
Cs (0.865, 0.725, 0.089)
Cs (0.954, 0.911, 0.725)
Cs (0.410, 0.911, 0.725)
Cs (0.135, 0.275, 0.911)
Cs (0.250, 0.500, 0.500)

---

Computed, not measured: Cs3AuO3 after structural relaxation at the PBE level of DFT.

Properties
Space-group type: P6_3/m (176)
Energy relative to the elements, uncorrected in eV per formula unit: -5.66

Unit cell a=6.253 b=8.711 c=8.711 alpha=120.00 beta=90.00 gamma=90.00
Fractional coordinates of all 14 atoms:
O (0.750, 0.300, 0.418)
Cs (0.750, 0.367, 0.095)
O (0.250, 0.882, 0.300)
Cs (0.250, 0.272, 0.367)
O (0.250, 0.700, 0.582)
Cs (0.250, 0.633, 0.905)
Cs (0.250, 0.095, 0.728)
O (0.250, 0.418, 0.118)
Au (0.250, 0.667, 0.333)
O (0.750, 0.582, 0.882)
Au (0.750, 0.333, 0.667)
O (0.750, 0.118, 0.700)
Cs (0.750, 0.905, 0.272)
Cs (0.750, 0.728, 0.633)